1.
The following is a PBE-GGA calculation of a relaxed structure of PrSbO, from the Alexandria database.

The structure in POSCAR format:
```
PrSbO
1.0
3.940 0.000 -0.801
-0.163 3.936 -0.801
-0.238 -0.248 8.921
Pr Sb O
2 2 2
Direct
0.585 0.585 0.169
0.415 0.415 0.831
0.219 0.219 0.439
0.781 0.781 0.561
0.000 0.500 0.000
0.500 0.000 0.000
```

Values from the calculation:
Formation energy without anion corrections ... -1.638 eV/atom
Space-group type ... I4/mmm (139)
D(E_F) ... 2.6 states/eV/cell
Energy above the most stable polymorph in this dataset ... 205 meV/atom
Calculated density ... 6.77 Mg/m³
DFT total energy ... -37.5 eV/cell

***

2.
The following is a PBE-GGA calculation of a relaxed structure of Pr4Sb6O19, from the Alexandria database.

The structure in POSCAR format:
```
Pr4Sb6O19
1.0
7.849 0.073 -2.738
-3.901 6.769 -2.850
0.036 -0.074 8.316
Pr Sb O
4 6 19
Direct
0.983 0.000 0.705
0.017 0.722 0.017
0.296 0.279 0.296
0.704 0.000 0.983
0.337 0.500 0.837
0.663 0.500 0.163
0.161 0.661 0.500
0.839 0.339 0.500
0.500 0.843 0.343
0.500 0.157 0.657
0.716 0.000 0.716
0.284 0.000 0.284
0.361 0.361 0.000
0.639 0.639 0.000
0.000 0.640 0.640
0.000 0.360 0.360
0.000 0.000 0.000
0.347 0.311 0.619
0.653 0.272 0.964
0.693 0.728 0.381
0.954 0.648 0.267
0.307 0.688 0.035
0.618 0.352 0.305
0.046 0.313 0.694
0.382 0.687 0.733
0.710 0.056 0.309
0.254 0.944 0.655
0.290 0.599 0.346
0.746 0.401 0.690
```

Values from the calculation:
Formation energy without anion corrections ... -2.008 eV/atom
Space-group type ... I222 (23)
Calculated density ... 6.00 Mg/m³
DFT total energy ... -196.3 eV/cell

***

Which value of calculated density does entry 1 give?
6.77 Mg/m³

***

DFT total energy of number 1 (PrSbO)?
-37.5 eV/cell

***

DFT total energy of number 1 (PrSbO)?
-37.5 eV/cell